# 1
Below is a geometry-optimized CsTl2P structure, with properties calculated at the PBE level.

Unit cell a=9.056 b=9.056 c=7.359 alpha=52.03 beta=52.03 gamma=90.00
Fractional positions:
Cs1 0.000 0.000 0.000
Cs2 0.750 0.250 0.500
P1 0.500 0.500 0.000
P2 0.250 0.750 0.500
Tl1 0.540 0.125 0.250
Tl2 0.210 0.625 0.250
Tl3 0.375 0.460 0.750
Tl4 0.875 0.790 0.750

## Properties
Calculated formation energy   -0.012 eV/atom
Volume   297.4 Å³ per cell
Energy above the lowest structure with this stoichiometry   0.055 eV/atom

***

# 2
Below is a geometry-optimized NbZn3P structure, with properties calculated at the PBE level.

Unit cell a=4.993 b=4.993 c=4.993 alpha=90.00 beta=90.00 gamma=90.00
Fractional positions:
P1 0.500 0.500 0.500
Nb1 0.000 0.000 0.000
Zn1 0.000 0.500 0.000
Zn2 0.000 0.000 0.500
Zn3 0.500 0.000 0.000

## Properties
Calculated formation energy   1.370 eV/atom
Volume   124.5 Å³ per cell
Energy above the lowest structure with this stoichiometry   0.537 eV/atom

***

# 3
Below is a geometry-optimized SrLaTc3 structure, with properties calculated at the PBE level.

Unit cell a=4.972 b=4.972 c=4.972 alpha=90.00 beta=90.00 gamma=90.00
Each line ends with the local moment (μB).
Fractional positions:
Sr1 0.500 0.500 0.500  0.01
Tc1 0.000 0.500 0.000  1.26
Tc2 0.000 0.000 0.500  1.32
Tc3 0.500 0.000 0.000  0.90
La1 0.000 0.000 0.000  0.03

## Properties
Calculated formation energy   1.601 eV/atom
Volume   122.9 Å³ per cell
Energy above the lowest structure with this stoichiometry   0.000 eV/atom

***

# 4
Below is a geometry-optimized Pr8Sb2Rh structure, with properties calculated at the PBE level.

Unit cell a=4.722 b=7.894 c=9.902 alpha=98.53 beta=103.79 gamma=90.00
Fractional positions:
Pr1 0.405 0.489 0.810
Pr2 0.648 0.024 0.297
Pr3 0.786 0.650 0.573
Pr4 0.994 0.219 0.988
Pr5 0.214 0.350 0.427
Pr6 0.352 0.976 0.703
Pr7 0.595 0.511 0.190
Pr8 0.006 0.781 0.012
Sb1 0.817 0.238 0.634
Sb2 0.183 0.762 0.366
Rh1 0.500 0.000 0.000

## Properties
Volume   354.2 Å³ per cell
Uncorrected formation energy   -0.521 eV per atom